First-principles (PBE+U) data for AlTlFe2F2 after structural relaxation, as listed in Alexandria.

DFT total energy: -47.62 eV for the cell shown
Size of the total moment: 12.12 μB per cell
SG: I4/mcm, No. 140

Cell and atoms, written as CIF:
```
data_AlTlFe2F2
_cell_length_a 7.6384
_cell_length_b 7.6384
_cell_length_c 7.6384
_cell_angle_alpha 129.06
_cell_angle_beta 129.06
_cell_angle_gamma 74.91
_space_group_name_H-M_alt 'P 1'
_space_group_IT_number 1
loop_
_space_group_symop_operation_xyz
'x,y,z'
loop_
_atom_site_label
_atom_site_fract_x
_atom_site_fract_y
_atom_site_fract_z
Al1 0.0000 0.0000 0.0000
Al2 0.5000 0.5000 0.0000
Tl1 0.2500 0.7500 0.5000
Tl2 0.7500 0.2500 0.5000
Fe1 0.8585 0.6415 0.5000
Fe2 0.1415 0.3585 0.5000
Fe3 0.6415 0.1415 0.7829
Fe4 0.3585 0.8585 0.2171
F1 0.1447 0.1447 0.0000
F2 0.8553 0.8553 0.0000
F3 0.3553 0.3553 0.0000
F4 0.6447 0.6447 0.0000
```